# Na3Co4O8 (GGA+U, relaxed)
# E above lowest polymorph: 35 meV/atom
data_Na3Co4O8
_cell_length_a 11.165
_cell_length_b 11.165
_cell_length_c 11.165
_cell_angle_alpha 165.13
_cell_angle_beta 29.82
_cell_angle_gamma 154.30
_space_group_name_H-M_alt 'P 1'
_space_group_IT_number 1
loop_
_space_group_symop_operation_xyz
'x,y,z'
loop_
_atom_site_label
_atom_site_fract_x
_atom_site_fract_y
_atom_site_fract_z
_atom_site_occupancy
Na1 0.000 0.000 0.000 1
Na2 0.401 0.651 0.750 1
Na3 0.901 0.651 0.250 1
Co1 0.194 0.320 0.874 1
Co2 0.446 0.320 0.126 1
Co3 0.693 0.320 0.373 1
Co4 0.946 0.320 0.627 1
O1 0.067 0.649 0.418 1
O2 0.159 0.986 0.174 1
O3 0.231 0.649 0.582 1
O4 0.312 0.985 0.326 1
O5 0.575 0.659 0.916 1
O6 0.659 0.985 0.674 1
O7 0.743 0.659 0.084 1
O8 0.812 0.986 0.826 1